(1)
Pm4PrSn4 PBE relaxed; formation energy from the elements = -0.463 eV per atom; crystal system = tetragonal; spin magnetization = 0.000 μB per cell; DFT total energy = -0.17949 Ha/atom; V = 628.3 Å³/cell
1.0
9.963 0.000 0.000
0.000 9.963 0.000
0.000 0.000 6.330
Pm Pr Sn
8 2 8
direct
0.080 0.655 0.135
0.155 0.920 0.635
0.345 0.580 0.635
0.420 0.845 0.135
0.580 0.155 0.865
0.655 0.420 0.365
0.845 0.080 0.365
0.920 0.345 0.865
0.250 0.250 0.250
0.750 0.750 0.750
0.029 0.621 0.637
0.121 0.971 0.137
0.379 0.529 0.137
0.471 0.879 0.637
0.529 0.121 0.363
0.621 0.471 0.863
0.879 0.029 0.863
0.971 0.379 0.363


(2)
Pm5PrSn6 PBE relaxed; formation energy from the elements = -0.674 eV per atom; crystal system = orthorhombic; spin magnetization = 0.000 μB per cell; DFT total energy = -0.18568 Ha/atom; V = 339.8 Å³/cell
1.0
2.484 -7.544 0.000
2.484 7.544 0.000
0.000 0.000 9.067
Pm Pr Sn
5 1 6
direct
0.000 0.000 0.000
0.333 0.667 0.000
0.333 0.667 0.500
0.667 0.333 0.000
0.667 0.333 0.500
0.000 0.000 0.500
0.167 0.833 0.249
0.167 0.833 0.751
0.500 0.500 0.249
0.500 0.500 0.751
0.833 0.167 0.249
0.833 0.167 0.751


(3)
Pm4PrSn3 PBE relaxed; formation energy from the elements = -0.473 eV per atom; crystal system = monoclinic; spin magnetization = 0.000 μB per cell; DFT total energy = -0.18179 Ha/atom; V = 498.2 Å³/cell
1.0
15.022 0.000 0.000
0.000 5.223 0.000
-1.651 0.000 6.350
Pm Pr Sn
8 2 6
direct
0.123 0.000 0.033
0.228 0.500 0.306
0.272 0.000 0.694
0.377 0.500 0.967
0.623 0.500 0.033
0.728 0.000 0.306
0.772 0.500 0.694
0.877 0.000 0.967
0.000 0.000 0.500
0.500 0.500 0.500
0.000 0.500 0.000
0.150 0.500 0.730
0.350 0.000 0.270
0.500 0.000 0.000
0.650 0.000 0.730
0.850 0.500 0.270


(4)
Pm2Pr3Sn2 PBE relaxed; formation energy from the elements = -0.298 eV per atom; crystal system = monoclinic; spin magnetization = 0.001 μB per cell; DFT total energy = -0.17814 Ha/atom; V = 455.6 Å³/cell
1.0
17.325 0.000 0.000
0.000 3.587 0.000
-3.654 0.000 7.331
Pm Pr Sn
4 6 4
direct
0.108 0.000 0.470
0.392 0.500 0.530
0.608 0.500 0.470
0.892 0.000 0.530
0.000 0.000 0.000
0.212 0.000 0.155
0.288 0.500 0.845
0.500 0.500 0.000
0.712 0.500 0.155
0.788 0.000 0.845
0.083 0.500 0.776
0.417 0.000 0.224
0.583 0.000 0.776
0.917 0.500 0.224


(5)
Pm12PrSn6 PBE relaxed; formation energy from the elements = -0.208 eV per atom; crystal system = trigonal; spin magnetization = 0.003 μB per cell; DFT total energy = -0.17361 Ha/atom; V = 659.5 Å³/cell
1.0
6.744 3.894 4.186
-6.744 3.894 4.186
0.000 -7.787 4.186
Pm Pr Sn
12 1 6
direct
0.007 0.938 0.664
0.062 0.336 0.993
0.194 0.556 0.425
0.336 0.993 0.062
0.425 0.194 0.556
0.444 0.575 0.806
0.556 0.425 0.194
0.575 0.806 0.444
0.664 0.007 0.938
0.806 0.444 0.575
0.938 0.664 0.007
0.993 0.062 0.336
0.000 0.000 0.000
0.123 0.312 0.650
0.312 0.650 0.123
0.350 0.877 0.688
0.650 0.123 0.312
0.688 0.350 0.877
0.877 0.688 0.350


(6)
PmPr2Sn3 PBE relaxed; formation energy from the elements = -0.639 eV per atom; crystal system = monoclinic; spin magnetization = 0.000 μB per cell; DFT total energy = -0.18467 Ha/atom; V = 368.0 Å³/cell
1.0
4.754 -7.353 0.000
4.754 7.353 0.000
-2.622 0.000 5.264
Pm Pr Sn
2 4 6
direct
0.084 0.916 0.750
0.916 0.084 0.250
0.251 0.749 0.250
0.417 0.583 0.750
0.583 0.417 0.250
0.749 0.251 0.750
0.000 0.500 0.500
0.165 0.329 0.002
0.329 0.165 0.502
0.500 0.000 0.000
0.671 0.835 0.498
0.835 0.671 0.998


(7)
Pm2PrSn PBE relaxed; formation energy from the elements = -0.450 eV per atom; crystal system = tetragonal; spin magnetization = 0.000 μB per cell; DFT total energy = -0.18450 Ha/atom; V = 120.8 Å³/cell; energy relative to the lowest polymorph listed for this composition = 0.000 eV per atom
1.0
4.955 0.000 0.000
0.000 4.955 0.000
0.000 0.000 4.918
Pm Pr Sn
2 1 1
direct
0.000 0.500 0.000
0.500 0.000 0.000
0.000 0.000 0.500
0.500 0.500 0.500


(8)
Pm2Pr2Sn7 PBE relaxed; formation energy from the elements = -0.210 eV per atom; crystal system = orthorhombic; spin magnetization = 0.000 μB per cell; DFT total energy = -0.16501 Ha/atom; V = 370.4 Å³/cell
1.0
4.698 -5.615 0.000
4.698 5.615 0.000
0.000 0.000 7.019
Pm Pr Sn
2 2 7
direct
0.224 0.776 0.000
0.776 0.224 0.000
0.314 0.314 0.500
0.686 0.686 0.500
0.000 0.000 0.295
0.000 0.000 0.705
0.000 0.500 0.294
0.000 0.500 0.706
0.500 0.000 0.294
0.500 0.000 0.706
0.500 0.500 0.000


(9)
PmPr3Sn2 PBE relaxed; formation energy from the elements = -0.575 eV per atom; crystal system = tetragonal; spin magnetization = 0.001 μB per cell; DFT total energy = -0.18709 Ha/atom; V = 194.8 Å³/cell; energy relative to the lowest polymorph listed for this composition = 0.000 eV per atom
1.0
4.685 0.000 0.000
0.000 4.685 0.000
0.000 0.000 8.874
Pm Pr Sn
1 3 2
direct
0.000 0.000 0.000
0.000 0.500 0.352
0.500 0.000 0.648
0.500 0.500 0.000
0.000 0.500 0.722
0.500 0.000 0.278


(10)
PmPr4Sn4 PBE relaxed; formation energy from the elements = -0.484 eV per atom; crystal system = tetragonal; spin magnetization = 0.000 μB per cell; DFT total energy = -0.18062 Ha/atom; V = 610.9 Å³/cell
1.0
9.698 0.000 0.000
0.000 9.698 0.000
0.000 0.000 6.496
Pm Pr Sn
2 8 8
direct
0.250 0.250 0.250
0.750 0.750 0.750
0.042 0.666 0.119
0.166 0.958 0.619
0.334 0.542 0.619
0.458 0.834 0.119
0.542 0.166 0.881
0.666 0.458 0.381
0.834 0.042 0.381
0.958 0.334 0.881
0.025 0.639 0.613
0.139 0.975 0.113
0.361 0.525 0.113
0.475 0.861 0.613
0.525 0.139 0.387
0.639 0.475 0.887
0.861 0.025 0.887
0.975 0.361 0.387


(11)
Pm4PrSn5 PBE relaxed; formation energy from the elements = -0.679 eV per atom; crystal system = tetragonal; spin magnetization = 0.000 μB per cell; DFT total energy = -0.18589 Ha/atom; V = 283.3 Å³/cell
1.0
3.533 0.000 0.000
0.000 3.533 0.000
0.000 0.000 22.698
Pm Pr Sn
4 1 5
direct
0.000 0.000 0.099
0.000 0.000 0.299
0.000 0.000 0.701
0.000 0.000 0.901
0.000 0.000 0.500
0.500 0.500 0.000
0.500 0.500 0.199
0.500 0.500 0.398
0.500 0.500 0.602
0.500 0.500 0.801


(12)
Pm5Pr3Sn2 PBE relaxed; formation energy from the elements = -0.288 eV per atom; crystal system = monoclinic; spin magnetization = 0.000 μB per cell; DFT total energy = -0.17998 Ha/atom; V = 660.8 Å³/cell
1.0
6.326 -7.932 0.000
6.326 7.932 0.000
-0.954 0.000 6.585
Pm Pr Sn
10 6 4
direct
0.031 0.969 0.750
0.032 0.711 0.399
0.181 0.278 0.047
0.278 0.181 0.547
0.289 0.968 0.101
0.711 0.032 0.899
0.722 0.819 0.453
0.819 0.722 0.953
0.968 0.289 0.601
0.969 0.031 0.250
0.166 0.608 0.929
0.392 0.834 0.571
0.485 0.515 0.750
0.515 0.485 0.250
0.608 0.166 0.429
0.834 0.392 0.071
0.218 0.501 0.429
0.499 0.782 0.071
0.501 0.218 0.929
0.782 0.499 0.571


(13)
Pm3Pr2Sn4 PBE relaxed; formation energy from the elements = -0.778 eV per atom; crystal system = monoclinic; spin magnetization = 0.000 μB per cell; DFT total energy = -0.19118 Ha/atom; V = 557.9 Å³/cell; energy relative to the lowest polymorph listed for this composition = 0.000 eV per atom
1.0
8.507 0.000 0.000
0.000 8.532 0.000
-2.809 0.000 7.686
Pm Pr Sn
6 4 8
direct
0.000 0.000 0.000
0.000 0.500 0.500
0.254 0.171 0.758
0.254 0.329 0.258
0.746 0.671 0.742
0.746 0.829 0.242
0.306 0.680 0.934
0.306 0.820 0.434
0.694 0.180 0.566
0.694 0.320 0.066
0.014 0.633 0.134
0.014 0.867 0.634
0.419 0.037 0.158
0.419 0.463 0.658
0.581 0.537 0.342
0.581 0.963 0.842
0.986 0.133 0.366
0.986 0.367 0.866


(14)
Pm2PrSn PBE relaxed; formation energy from the elements = -0.250 eV per atom; crystal system = cubic; spin magnetization = 0.000 μB per cell; DFT total energy = -0.17715 Ha/atom; V = 486.2 Å³/cell; energy relative to the lowest polymorph listed for this composition = 0.200 eV per atom
1.0
7.863 0.000 0.000
0.000 7.863 0.000
0.000 0.000 7.863
Pm Pr Sn
8 4 4
direct
0.250 0.250 0.250
0.250 0.250 0.750
0.250 0.750 0.250
0.250 0.750 0.750
0.750 0.250 0.250
0.750 0.250 0.750
0.750 0.750 0.250
0.750 0.750 0.750
0.000 0.000 0.000
0.000 0.500 0.500
0.500 0.000 0.500
0.500 0.500 0.000
0.000 0.000 0.500
0.000 0.500 0.000
0.500 0.000 0.000
0.500 0.500 0.500


(15)
Pm5Pr12Sn2 PBE relaxed; formation energy from the elements = -0.098 eV per atom; crystal system = monoclinic; spin magnetization = 0.000 μB per cell; DFT total energy = -0.17597 Ha/atom; V = 663.3 Å³/cell
1.0
7.835 -4.848 0.000
7.835 4.848 0.000
-0.554 0.000 8.732
Pm Pr Sn
5 12 2
direct
0.000 0.000 0.000
0.235 0.235 0.089
0.321 0.321 0.498
0.679 0.679 0.502
0.765 0.765 0.911
0.034 0.667 0.267
0.079 0.079 0.383
0.183 0.573 0.841
0.333 0.966 0.733
0.427 0.817 0.159
0.448 0.448 0.192
0.552 0.552 0.808
0.573 0.183 0.841
0.667 0.034 0.267
0.817 0.427 0.159
0.921 0.921 0.617
0.966 0.333 0.733
0.306 0.694 0.500
0.694 0.306 0.500


(16)
Pm5Pr8Sn PBE relaxed; formation energy from the elements = 0.055 eV per atom; crystal system = monoclinic; spin magnetization = 0.000 μB per cell; DFT total energy = -0.17120 Ha/atom; V = 497.7 Å³/cell
1.0
7.287 -4.573 0.000
7.287 4.573 0.000
-5.544 0.000 7.468
Pm Pr Sn
5 8 1
direct
0.000 0.000 0.000
0.248 0.576 0.751
0.424 0.752 0.249
0.612 0.292 0.131
0.708 0.388 0.869
0.005 0.136 0.419
0.135 0.406 0.966
0.386 0.265 0.356
0.448 0.078 0.676
0.594 0.865 0.034
0.735 0.614 0.644
0.864 0.995 0.581
0.922 0.552 0.324
0.268 0.732 0.500


(17)
Pm8PrSn6 PBE relaxed; formation energy from the elements = -0.573 eV per atom; crystal system = trigonal; spin magnetization = 0.000 μB per cell; DFT total energy = -0.18471 Ha/atom; V = 496.2 Å³/cell
1.0
4.663 2.692 6.587
-4.663 2.692 6.587
0.000 -5.384 6.587
Pm Pr Sn
8 1 6
direct
0.065 0.727 0.395
0.167 0.167 0.167
0.273 0.605 0.935
0.395 0.065 0.727
0.605 0.935 0.273
0.727 0.395 0.065
0.833 0.833 0.833
0.935 0.273 0.605
0.500 0.500 0.500
0.096 0.433 0.768
0.232 0.904 0.567
0.433 0.768 0.096
0.567 0.232 0.904
0.768 0.096 0.433
0.904 0.567 0.232


(18)
Pm2PrSn PBE relaxed; formation energy from the elements = -0.344 eV per atom; crystal system = tetragonal; spin magnetization = 0.001 μB per cell; DFT total energy = -0.18061 Ha/atom; V = 125.4 Å³/cell; energy relative to the lowest polymorph listed for this composition = 0.106 eV per atom
1.0
4.231 0.000 0.000
0.000 4.231 0.000
0.000 0.000 7.004
Pm Pr Sn
2 1 1
direct
0.000 0.000 0.221
0.000 0.000 0.779
0.500 0.500 0.500
0.500 0.500 0.000


(19)
PmPr2Sn PBE relaxed; formation energy from the elements = -0.451 eV per atom; crystal system = tetragonal; spin magnetization = 0.000 μB per cell; DFT total energy = -0.18481 Ha/atom; V = 122.5 Å³/cell; energy relative to the lowest polymorph listed for this composition = 0.000 eV per atom
1.0
4.952 0.000 0.000
0.000 4.952 0.000
0.000 0.000 4.996
Pm Pr Sn
1 2 1
direct
0.000 0.000 0.000
0.000 0.500 0.500
0.500 0.000 0.500
0.500 0.500 0.000


(20)
PmPr2Sn PBE relaxed; formation energy from the elements = -0.355 eV per atom; crystal system = tetragonal; spin magnetization = 0.000 μB per cell; DFT total energy = -0.18130 Ha/atom; V = 128.0 Å³/cell; energy relative to the lowest polymorph listed for this composition = 0.096 eV per atom
1.0
4.309 0.000 0.000
0.000 4.309 0.000
0.000 0.000 6.894
Pm Pr Sn
1 2 1
direct
0.000 0.000 0.000
0.500 0.500 0.272
0.500 0.500 0.728
0.000 0.000 0.500